{
  "formula": "LiMnFeRu",
  "functional": "PBE-GGA",
  "state": "relaxed",
  "lattice": [[4.066, 0.000, 0.000], [2.033, 3.521, 0.000], [2.033, 1.174, 3.320]],
  "species": ["Ru", "Mn", "Li", "Fe"],
  "fractional_positions": [[0.250, 0.250, 0.250], [0.500, 0.500, 0.500], [0.000, 0.000, 0.000], [0.750, 0.750, 0.750]],
  "formation_enthalpy_0k_ev_per_fu": 0.9,
  "space_group": "F-43m, No. 216"
}

---

{
  "formula": "LiMnFeSb",
  "functional": "PBE-GGA",
  "state": "relaxed",
  "lattice": [[4.270, 0.000, 0.000], [2.135, 3.698, 0.000], [2.135, 1.233, 3.487]],
  "species": ["Fe", "Mn", "Sb", "Li"],
  "fractional_positions": [[0.500, 0.500, 0.500], [0.750, 0.750, 0.750], [0.250, 0.250, 0.250], [0.000, 0.000, 0.000]],
  "space_group": "F-43m, No. 216",
  "raw_formation_energy_kj_per_mol_atoms": -6.2
}

---

{
  "formula": "LiSc2MnFe",
  "functional": "PBE-GGA",
  "state": "relaxed",
  "lattice": [[-0.533, 4.421, -1.154], [-1.968, -1.201, -3.689], [-4.068, 0.070, 2.147]],
  "species": ["Sc", "Sc", "Mn", "Li", "Fe"],
  "fractional_positions": [[0.500, 0.000, 0.000], [0.000, 0.000, 0.500], [0.000, 0.000, 0.000], [0.000, 0.500, 0.000], [0.500, 0.500, 0.500]],
  "formation_enthalpy_0k_ev_per_fu": 5.0,
  "space_group": "P4/mmm, No. 123"
}

---

{
  "formula": "LiMnFeSi2",
  "functional": "PBE-GGA",
  "state": "relaxed",
  "lattice": [[4.243, 0.000, 0.000], [0.000, 4.389, 0.000], [0.000, 0.000, 4.243]],
  "species": ["Fe", "Mn", "Si", "Si", "Li"],
  "fractional_positions": [[0.000, 0.000, 0.000], [0.000, 0.500, 0.000], [0.000, 0.000, 0.500], [0.500, 0.000, 0.000], [0.500, 0.500, 0.500]],
  "space_group": "P4/mmm, No. 123",
  "raw_formation_energy_kj_per_mol_atoms": 54.3
}

---

| no. | density of states at the Fermi level (states/eV per cell) |
| --- | --- |
| 1 | 3.68 |
| 2 | 1.36 |
| 3 | 7.67 |
| 4 | 7.74 |